Material: UNbGa
Method: DFT, PBE
State: relaxed

**D(E_F)**: 1.994 states/eV per atom
**E_form**: 0.16 eV/atom
**Energy relative to the lowest polymorph listed for this composition**: 0.084 eV per atom
**E_tot**: -7.97 eV/atom
**Spin magnetization**: 4.47 Bohr magnetons per cell

a = 3.5801 Å, b = 3.5801 Å, c = 9.4618 Å
α = 90.00°, β = 90.00°, γ = 90.00°
Closest atoms and distances in Å follow each position.
Space group I4mm (No. 107)
Unique sites:
U: 0.0000 0.0000 0.0000 [2 per cell]  1 Nb 2.74, 5 Ga 3.01-3.06
Nb: 0.0000 0.0000 0.2895 [2 per cell]  4 Ga 2.73, 1 U 2.74
Ga: 0.0000 0.0000 0.6818 [2 per cell]  4 Nb 2.73, 1 U 3.01